1.
# Nd2TcI

An optimized crystal structure of Nd2TcI (PBE, Alexandria).

Results
The space group is No. 166. The value obtained for the uncorrected formation energy is -0.24 eV per atom. Its density of states at the Fermi level is 2.57 states/eV/f.u. Its calculated volume is 116.8 Å³/f.u. The calculation puts the total magnetization at 0.0 μB/f.u.

Cell: 9.2698 9.2698 9.2698 Å, 24.11 24.11 24.11°
Last column: nearest neighbours and their distance in Å.
Atoms (fractional coordinates):
Nd: 0.2366 0.2366 0.2366  3 Tc 2.93
Nd: 0.7634 0.7634 0.7634  3 Tc 2.93
Tc: 0.5000 0.5000 0.5000  6 Nd 2.93
I: 0.0000 0.0000 0.0000  6 Nd 3.44

2.
# Nd5Tc2I2

An optimized crystal structure of Nd5Tc2I2 (PBE, Alexandria).

Results
The space group is No. 64. The value obtained for the uncorrected formation energy is -0.35 eV per atom. Its density of states at the Fermi level is 6.57 states/eV/f.u. Its calculated volume is 280.4 Å³/f.u. The calculation puts the total magnetization at 0.0 μB/f.u.

Cell: 9.6936 9.6936 7.9539 Å, 90.00 90.00 48.62°
Last column: nearest neighbours and their distance in Å.
Atoms (fractional coordinates):
Nd: 0.0000 0.0000 0.0000  4 Tc 3.22-3.23, 8 Nd 3.52
Nd: 0.0667 0.7136 0.6760  3 Tc 3.03-3.09
Nd: 0.2136 0.5667 0.1760  3 Tc 3.03-3.09
Nd: 0.2864 0.9333 0.6760  3 Tc 3.03-3.09
Nd: 0.4333 0.7864 0.1760  3 Tc 3.03-3.09
Nd: 0.5000 0.5000 0.5000  4 Tc 3.22-3.23, 8 Nd 3.52
Nd: 0.5667 0.2136 0.8240  3 Tc 3.03-3.09
Nd: 0.7136 0.0667 0.3240  3 Tc 3.03-3.09
Nd: 0.7864 0.4333 0.8240  3 Tc 3.03-3.09
Nd: 0.9333 0.2864 0.3240  3 Tc 3.03-3.09
Tc: 0.1117 0.8883 0.3907  1 Tc 2.49
Tc: 0.3883 0.6117 0.8907  1 Tc 2.49
Tc: 0.6117 0.3883 0.1093  1 Tc 2.49
Tc: 0.8883 0.1117 0.6093  1 Tc 2.49
I: 0.2225 0.2225 0.0000  7 Nd 3.55-3.93
I: 0.2775 0.2775 0.5000  7 Nd 3.55-3.93
I: 0.7225 0.7225 0.5000  7 Nd 3.55-3.93
I: 0.7775 0.7775 0.0000  7 Nd 3.55-3.93

3.
# Nd4TcI5

An optimized crystal structure of Nd4TcI5 (PBE, Alexandria).

Results
The space group is No. 12. The value obtained for the uncorrected formation energy is -1.00 eV per atom. Its density of states at the Fermi level is 5.81 states/eV/f.u. Its calculated volume is 389.4 Å³/f.u. The calculation puts the total magnetization at 0.0 μB/f.u.

Cell: 10.1485 10.1485 9.5408 Å, 103.51 103.51 24.08°
Last column: nearest neighbours and their distance in Å.
Atoms (fractional coordinates):
Nd: 0.0005 0.0005 0.2177  2 Tc 2.96, 2 I 3.24-3.31
Nd: 0.9995 0.9995 0.7823  2 Tc 2.96, 2 I 3.24-3.31
Nd: 0.3628 0.3628 0.9296  1 Tc 2.64
Nd: 0.6372 0.6372 0.0704  1 Tc 2.64
Tc: 0.5000 0.5000 0.0000  2 Nd 2.64
I: 0.1675 0.1675 0.3331  3 Nd 3.23-3.24
I: 0.1705 0.1705 0.8359  3 Nd 3.26-3.31
I: 0.5000 0.5000 0.5000  4 Nd 3.43
I: 0.8295 0.8295 0.1641  3 Nd 3.26-3.31
I: 0.8325 0.8325 0.6669  3 Nd 3.23-3.24